Density functional theory data (PBE) for a geometry-optimized LaMgSbI2 structure.

```
LaMgSbI2
1.0
5.4227 0.0000 0.0000
0.0000 5.4227 0.0000
0.0000 0.0000 5.9082
La Mg Sb I
1 1 1 2
Cartesian
0.0000 0.0000 0.0000
2.7114 2.7114 2.9541
2.7114 2.7114 0.0000
0.0000 2.7114 2.9541
2.7114 0.0000 2.9541
```

Calculated values
**Magnetization**: 0.18 μB per formula unit
**Space-group type**: No. 123
**Raw formation energy**: -503 meV per atom